La2GdSb | GGA-PBE | optimized geometry

Summary:
Energy relative to the elements, uncorrected   -547 meV/atom
Total energy   -30.25 eV for the cell shown
Relative energy among the computed polymorphs   38 meV per atom
Total magnetic moment   8.587 μB/cell

Cell: 4.2469 4.2469 7.2110 Å, 90.00 90.00 90.00°
Sites, in units of the cell vectors:
La 0.0000 0.0000 0.2200
La 0.0000 0.0000 0.7800
Gd 0.5000 0.5000 0.5000
Sb 0.5000 0.5000 0.0000

Sc2SCl | GGA-PBE | optimized geometry

Summary:
Energy relative to the elements, uncorrected   -1435 meV/atom
Total energy   -48.75 eV for the cell shown
Relative energy among the computed polymorphs   55 meV per atom
Total magnetic moment   0.139 μB/cell

Cell: 4.8935 3.7648 11.3952 Å, 90.00 90.25 90.00°
Sites, in units of the cell vectors:
Sc 0.0000 0.0000 0.0000
Sc 0.1794 0.0000 0.7261
Sc 0.4948 0.5000 0.5282
Sc 0.6802 0.5000 0.8020
S 0.4934 0.0000 0.9306
S 0.9897 0.5000 0.5976
Cl 0.0066 0.5000 0.1425
Cl 0.4993 0.0000 0.3857

Li2PRh | GGA-PBE | optimized geometry

Summary:
Formation energy   -0.45 eV per atom
Total energy   -36.80 eV for the cell shown
Total magnetic moment   0.000 μB/cell

Cell: 4.0354 2.8624 9.7588 Å, 90.00 90.00 90.00°
Sites, in units of the cell vectors:
Li 0.0000 0.0000 0.0000
Li 0.0000 0.5000 0.5000
Li 0.5000 0.0000 0.3487
Li 0.5000 0.5000 0.8487
P 0.5000 0.0000 0.6190
P 0.5000 0.5000 0.1190
Rh 0.0000 0.0000 0.7263
Rh 0.0000 0.5000 0.2263

CaAlClO2 | GGA-PBE | optimized geometry

Summary:
Energy relative to the elements, uncorrected   -2715 meV/atom
Total energy   -62.16 eV for the cell shown
Total magnetic moment   0.000 μB/cell

Cell: 6.4887 3.8132 7.6267 Å, 90.00 110.60 90.00°
Sites, in units of the cell vectors:
Ca 0.1803 0.2500 0.1685
Ca 0.8197 0.7500 0.8315
Al 0.0831 0.2500 0.6476
Al 0.9169 0.7500 0.3524
Cl 0.4623 0.2500 0.7275
Cl 0.5377 0.7500 0.2725
O 0.0121 0.2500 0.8518
O 0.0329 0.7500 0.6098
O 0.9671 0.2500 0.3902
O 0.9879 0.7500 0.1482

UFeB | GGA-PBE | optimized geometry

Summary:
Formation energy   -0.23 eV per atom
Total energy   -108.53 eV for the cell shown
Relative energy among the computed polymorphs   0 meV per atom
Total magnetic moment   0.000 μB/cell

Cell: 3.9313 5.9436 6.9060 Å, 90.00 90.00 90.00°
Sites, in units of the cell vectors:
U 0.0000 0.0000 0.0000
U 0.0000 0.0000 0.5000
U 0.5000 0.5000 0.0000
U 0.5000 0.5000 0.5000
Fe 0.0000 0.2784 0.2500
Fe 0.0000 0.7216 0.7500
Fe 0.5000 0.2216 0.7500
Fe 0.5000 0.7784 0.2500
B 0.0000 0.3550 0.7500
B 0.0000 0.6450 0.2500
B 0.5000 0.1450 0.2500
B 0.5000 0.8550 0.7500

Pr2SmSb3Rh4 | GGA-PBE | optimized geometry

Summary:
Energy relative to the elements, uncorrected   -838 meV/atom
Total energy   -64.43 eV for the cell shown
Total magnetic moment   0.000 μB/cell

Cell: 4.4505 4.4505 11.4307 Å, 90.00 90.00 90.00°
Sites, in units of the cell vectors:
Pr 0.0000 0.5000 0.2242
Pr 0.5000 0.0000 0.7758
Sm 0.0000 0.0000 0.5000
Sb 0.0000 0.5000 0.8718
Sb 0.5000 0.0000 0.1282
Sb 0.5000 0.5000 0.5000
Rh 0.0000 0.0000 0.0000
Rh 0.0000 0.5000 0.6471
Rh 0.5000 0.0000 0.3529
Rh 0.5000 0.5000 0.0000

Sm3Er2S8 | GGA-PBE | optimized geometry

Summary:
Energy relative to the elements, uncorrected   -1827 meV/atom
Total energy   -80.06 eV for the cell shown
Total magnetic moment   0.001 μB/cell

Cell: 7.9755 7.9755 6.7891 Å, 107.72 107.72 60.32°
Sites, in units of the cell vectors:
Sm 0.0000 0.0000 0.0000
Sm 0.2638 0.7362 0.5000
Sm 0.7362 0.2638 0.5000
Er 0.2620 0.2620 0.8442
Er 0.7380 0.7380 0.1558
S 0.1058 0.6375 0.0823
S 0.1207 0.1207 0.4364
S 0.3625 0.8942 0.9177
S 0.3826 0.3826 0.6091
S 0.6174 0.6174 0.3909
S 0.6375 0.1058 0.0823
S 0.8793 0.8793 0.5636
S 0.8942 0.3625 0.9177

ReIr2Pt | GGA-PBE | optimized geometry

Summary:
Formation energy   0.45 eV per atom
Total energy   -137.67 eV for the cell shown
Relative energy among the computed polymorphs   598 meV per atom
Total magnetic moment   0.046 μB/cell

Cell: 6.2503 6.2503 6.2503 Å, 90.00 90.00 90.00°
Sites, in units of the cell vectors:
Re 0.0000 0.0000 0.0000
Re 0.0000 0.5000 0.5000
Re 0.5000 0.0000 0.5000
Re 0.5000 0.5000 0.0000
Ir 0.0000 0.0000 0.5000
Ir 0.0000 0.5000 0.0000
Ir 0.2500 0.2500 0.2500
Ir 0.2500 0.7500 0.7500
Ir 0.5000 0.0000 0.0000
Ir 0.5000 0.5000 0.5000
Ir 0.7500 0.2500 0.7500
Ir 0.7500 0.7500 0.2500
Pt 0.2500 0.2500 0.7500
Pt 0.2500 0.7500 0.2500
Pt 0.7500 0.2500 0.2500
Pt 0.7500 0.7500 0.7500